1.
DFT (PBE) results for CoSiSe after structural relaxation.

Space group: F-43m
Density (g cm⁻³): 6.00
Magnetic moment (μB/f.u.): 0.0
Energy relative to the elements, uncorrected (meV/atom): -56

Cell: 5.686 5.686 5.686 Å, 90.00 90.00 90.00°
Atoms (fractional coordinates):
Co: 0.000 0.000 0.000
Co: 0.000 0.500 0.500
Co: 0.500 0.000 0.500
Co: 0.500 0.500 0.000
Si: 0.250 0.250 0.750
Si: 0.250 0.750 0.250
Si: 0.750 0.250 0.250
Si: 0.750 0.750 0.750
Se: 0.250 0.250 0.250
Se: 0.250 0.750 0.750
Se: 0.750 0.250 0.750
Se: 0.750 0.750 0.250


2.
DFT (PBE) results for SrTe2Pd after structural relaxation.

Energy above the lowest structure with this stoichiometry (meV/atom): 0
Space group: I-42d
Density (g cm⁻³): 5.20
Magnetic moment (μB/f.u.): 0.0
Energy relative to the elements, uncorrected (meV/atom): -677

Cell: 5.938 5.938 16.290 Å, 90.00 90.00 90.00°
Atoms (fractional coordinates):
Sr: 0.000 0.000 0.000
Sr: 0.000 0.500 0.250
Sr: 0.500 0.000 0.750
Sr: 0.500 0.500 0.500
Te: 0.150 0.250 0.625
Te: 0.250 0.650 0.875
Te: 0.250 0.850 0.375
Te: 0.350 0.250 0.125
Te: 0.650 0.750 0.125
Te: 0.750 0.150 0.375
Te: 0.750 0.350 0.875
Te: 0.850 0.750 0.625
Pd: 0.000 0.000 0.500
Pd: 0.000 0.500 0.750
Pd: 0.500 0.000 0.250
Pd: 0.500 0.500 0.000


3.
DFT (PBE) results for Ac3ZrGe6 after structural relaxation.

Formation enthalpy at 0 K (eV per atom): -0.559
Space group: R-3c
Density (g cm⁻³): 7.85
Magnetic moment (μB/f.u.): 0.0

Cell: 8.074 8.074 8.074 Å, 97.59 97.59 97.59°
Atoms (fractional coordinates):
Ac: 0.181 0.750 0.319
Ac: 0.250 0.681 0.819
Ac: 0.319 0.181 0.750
Ac: 0.681 0.819 0.250
Ac: 0.750 0.319 0.181
Ac: 0.819 0.250 0.681
Zr: 0.000 0.000 0.000
Zr: 0.500 0.500 0.500
Ge: 0.019 0.094 0.366
Ge: 0.094 0.366 0.019
Ge: 0.134 0.406 0.481
Ge: 0.366 0.019 0.094
Ge: 0.406 0.481 0.134
Ge: 0.481 0.134 0.406
Ge: 0.519 0.866 0.594
Ge: 0.594 0.519 0.866
Ge: 0.634 0.981 0.906
Ge: 0.866 0.594 0.519
Ge: 0.906 0.634 0.981
Ge: 0.981 0.906 0.634


4.
DFT (PBE) results for Sr3In2Ag7 after structural relaxation.

Formation enthalpy at 0 K (eV per atom): -0.222
Energy above the lowest structure with this stoichiometry (meV/atom): 0
Space group: R-3m
Density (g cm⁻³): 7.05
Magnetic moment (μB/f.u.): 0.0

Cell: 10.174 10.174 10.174 Å, 34.01 34.01 34.01°
Atoms (fractional coordinates):
Sr: 0.000 0.000 0.000
Sr: 0.142 0.142 0.142
Sr: 0.858 0.858 0.858
In: 0.332 0.332 0.332
In: 0.668 0.668 0.668
Ag: 0.084 0.585 0.585
Ag: 0.415 0.415 0.916
Ag: 0.415 0.916 0.415
Ag: 0.500 0.500 0.500
Ag: 0.585 0.084 0.585
Ag: 0.585 0.585 0.084
Ag: 0.916 0.415 0.415


5.
DFT (PBE) results for Dy2TmNpS4 after structural relaxation.

Space group: P2/m
Density (g cm⁻³): 8.56
Magnetic moment (μB/f.u.): 4.5
Energy relative to the elements, uncorrected (meV/atom): -1828

Cell: 6.741 3.885 6.742 Å, 90.00 109.33 90.00°
Atoms (fractional coordinates):
Dy: 0.000 0.000 0.000
Dy: 0.500 0.500 0.000
Tm: 0.000 0.500 0.500
Np: 0.500 0.000 0.500
S: 0.245 0.000 0.747
S: 0.248 0.500 0.251
S: 0.752 0.500 0.749
S: 0.755 0.000 0.253


6.
DFT (PBE) results for Y3ScPd2 after structural relaxation.

Formation enthalpy at 0 K (eV per atom): -0.540
Space group: C2/m
Density (g cm⁻³): 5.87
Magnetic moment (μB/f.u.): 0.0

Cell: 15.604 4.103 4.876 Å, 90.00 108.13 90.00°
Atoms (fractional coordinates):
Y: 0.000 0.000 0.000
Y: 0.184 0.500 0.184
Y: 0.316 0.000 0.816
Y: 0.500 0.500 0.000
Y: 0.684 0.000 0.184
Y: 0.816 0.500 0.816
Sc: 0.000 0.500 0.500
Sc: 0.500 0.000 0.500
Pd: 0.126 0.000 0.626
Pd: 0.374 0.500 0.374
Pd: 0.626 0.500 0.626
Pd: 0.874 0.000 0.374


7.
DFT (PBE) results for HfCd3Pt6 after structural relaxation.

Formation enthalpy at 0 K (eV per atom): -0.573
Space group: P2_1/m
Density (g cm⁻³): 16.23
Magnetic moment (μB/f.u.): 0.0

Cell: 8.936 4.153 9.304 Å, 90.00 92.43 90.00°
Atoms (fractional coordinates):
Hf: 0.061 0.250 0.377
Hf: 0.939 0.750 0.623
Cd: 0.249 0.250 0.005
Cd: 0.346 0.750 0.802
Cd: 0.449 0.250 0.600
Cd: 0.551 0.750 0.400
Cd: 0.654 0.250 0.198
Cd: 0.751 0.750 0.995
Pt: 0.048 0.750 0.903
Pt: 0.137 0.250 0.691
Pt: 0.151 0.750 0.206
Pt: 0.233 0.750 0.499
Pt: 0.352 0.250 0.302
Pt: 0.450 0.750 0.102
Pt: 0.550 0.250 0.898
Pt: 0.648 0.750 0.698
Pt: 0.767 0.250 0.501
Pt: 0.849 0.250 0.794
Pt: 0.863 0.750 0.309
Pt: 0.952 0.250 0.097


8.
DFT (PBE) results for Cs3Ca2UO6 after structural relaxation.

Space group: C2/m
Density (g cm⁻³): 5.85
Magnetic moment (μB/f.u.): 1.0
Energy relative to the elements, uncorrected (meV/atom): -2459

Cell: 6.229 6.229 7.165 Å, 98.25 98.25 120.01°
Atoms (fractional coordinates):
Cs: 0.000 0.000 0.000
Cs: 0.330 0.670 0.000
Cs: 0.670 0.330 0.000
Ca: 0.167 0.833 0.500
Ca: 0.833 0.167 0.500
U: 0.500 0.500 0.500
O: 0.144 0.444 0.334
O: 0.256 0.256 0.669
O: 0.444 0.144 0.334
O: 0.556 0.856 0.666
O: 0.744 0.744 0.331
O: 0.856 0.556 0.666


9.
DFT (PBE) results for CsTePb2O2 after structural relaxation.

Space group: P2_1/m
Density (g cm⁻³): 6.02
Magnetic moment (μB/f.u.): 0.0
Energy relative to the elements, uncorrected (meV/atom): -871

Cell: 6.852 6.300 9.167 Å, 90.00 99.49 90.00°
Atoms (fractional coordinates):
Cs: 0.196 0.250 0.438
Cs: 0.804 0.750 0.562
Te: 0.325 0.750 0.126
Te: 0.675 0.250 0.874
Pb: 0.143 0.250 0.877
Pb: 0.358 0.750 0.792
Pb: 0.642 0.250 0.208
Pb: 0.857 0.750 0.123
O: 0.143 0.501 0.715
O: 0.143 0.999 0.715
O: 0.857 0.001 0.285
O: 0.857 0.499 0.285


10.
DFT (PBE) results for Y4Er3TmS8 after structural relaxation.

Space group: R-3m
Density (g cm⁻³): 6.40
Magnetic moment (μB/f.u.): 0.0
Energy relative to the elements, uncorrected (meV/atom): -1969

Cell: 7.788 7.788 7.788 Å, 59.86 59.86 59.86°
Atoms (fractional coordinates):
Y: 0.000 0.000 0.000
Y: 0.000 0.500 0.500
Y: 0.500 0.000 0.500
Y: 0.500 0.500 0.000
Er: 0.000 0.000 0.500
Er: 0.000 0.500 0.000
Er: 0.500 0.000 0.000
Tm: 0.500 0.500 0.500
S: 0.248 0.248 0.248
S: 0.249 0.747 0.747
S: 0.253 0.253 0.751
S: 0.253 0.751 0.253
S: 0.747 0.249 0.747
S: 0.747 0.747 0.249
S: 0.751 0.253 0.253
S: 0.752 0.752 0.752


11.
DFT (PBE) results for ThZn2Ni3 after structural relaxation.

Formation enthalpy at 0 K (eV per atom): -0.332
Space group: Cmcm
Density (g cm⁻³): 9.33
Magnetic moment (μB/f.u.): 0.0

Cell: 6.204 6.204 5.007 Å, 90.00 90.00 84.46°
Atoms (fractional coordinates):
Th: 0.220 0.780 0.750
Th: 0.780 0.220 0.250
Zn: 0.269 0.269 0.000
Zn: 0.269 0.269 0.500
Zn: 0.731 0.731 0.000
Zn: 0.731 0.731 0.500
Ni: 0.053 0.579 0.250
Ni: 0.421 0.947 0.250
Ni: 0.444 0.556 0.250
Ni: 0.556 0.444 0.750
Ni: 0.579 0.053 0.750
Ni: 0.947 0.421 0.750


12.
DFT (PBE) results for HgAs2Ir after structural relaxation.

Formation enthalpy at 0 K (eV per atom): 0.090
Space group: Cm
Density (g cm⁻³): 11.00
Magnetic moment (μB/f.u.): 0.0

Cell: 10.692 2.950 5.527 Å, 90.00 110.01 90.00°
Atoms (fractional coordinates):
Hg: 0.000 0.000 0.000
Hg: 0.500 0.500 0.000
As: 0.160 0.000 0.604
As: 0.340 0.000 0.388
As: 0.660 0.500 0.604
As: 0.840 0.500 0.388
Ir: 0.239 0.500 0.998
Ir: 0.739 0.000 0.998


13.
DFT (PBE) results for Ac5YCd4 after structural relaxation.

Formation enthalpy at 0 K (eV per atom): -0.218
Space group: P4/mmm
Density (g cm⁻³): 7.93
Magnetic moment (μB/f.u.): 0.0

Cell: 4.051 4.051 21.344 Å, 90.00 90.00 90.00°
Atoms (fractional coordinates):
Ac: 0.000 0.000 0.000
Ac: 0.000 0.000 0.193
Ac: 0.000 0.000 0.385
Ac: 0.000 0.000 0.615
Ac: 0.000 0.000 0.807
Y: 0.500 0.500 0.500
Cd: 0.500 0.500 0.096
Cd: 0.500 0.500 0.291
Cd: 0.500 0.500 0.709
Cd: 0.500 0.500 0.904


14.
DFT (PBE) results for HoEr2Pa after structural relaxation.

Formation enthalpy at 0 K (eV per atom): 0.123
Energy above the lowest structure with this stoichiometry (meV/atom): 21
Space group: P4/mmm
Density (g cm⁻³): 10.45
Magnetic moment (μB/f.u.): 0.0

Cell: 3.394 3.394 10.077 Å, 90.00 90.00 90.00°
Atoms (fractional coordinates):
Ho: 0.000 0.000 0.000
Er: 0.500 0.500 0.265
Er: 0.500 0.500 0.735
Pa: 0.000 0.000 0.500


15.
DFT (PBE) results for LiTbAs after structural relaxation.

Formation enthalpy at 0 K (eV per atom): -0.968
Energy above the lowest structure with this stoichiometry (meV/atom): 0
Space group: P-6m2
Density (g cm⁻³): 6.73
Magnetic moment (μB/f.u.): 0.0

Cell: 4.153 4.153 3.978 Å, 90.00 90.00 120.00°
Atoms (fractional coordinates):
Li: 0.000 0.000 0.000
Tb: 0.667 0.333 0.500
As: 0.333 0.667 0.000


16.
DFT (PBE) results for SiTc2Ni after structural relaxation.

Space group: I-4m2
Density (g cm⁻³): 8.99
Magnetic moment (μB/f.u.): 0.0
Energy relative to the elements, uncorrected (meV/atom): -212

Cell: 3.792 3.792 7.263 Å, 90.00 90.00 90.00°
Atoms (fractional coordinates):
Si: 0.000 0.000 0.000
Si: 0.500 0.500 0.500
Tc: 0.000 0.000 0.500
Tc: 0.000 0.500 0.750
Tc: 0.500 0.000 0.250
Tc: 0.500 0.500 0.000
Ni: 0.000 0.500 0.250
Ni: 0.500 0.000 0.750


17.
DFT (PBE) results for Sc2TaCl after structural relaxation.

Energy above the lowest structure with this stoichiometry (meV/atom): 339
Space group: P4mm
Density (g cm⁻³): 5.32
Magnetic moment (μB/f.u.): 0.5
Energy relative to the elements, uncorrected (meV/atom): -165

Cell: 3.055 3.055 10.243 Å, 90.00 90.00 90.00°
Atoms (fractional coordinates):
Sc: 0.000 0.000 0.000
Sc: 0.500 0.500 0.265
Ta: 0.000 0.000 0.462
Cl: 0.500 0.500 0.851


18.
DFT (PBE) results for Ca2YTi2 after structural relaxation.

Formation enthalpy at 0 K (eV per atom): 0.638
Space group: P4/mbm
Density (g cm⁻³): 3.25
Magnetic moment (μB/f.u.): 1.1

Cell: 8.932 8.932 3.390 Å, 90.00 90.00 90.00°
Atoms (fractional coordinates):
Ca: 0.129 0.371 0.000
Ca: 0.371 0.871 0.000
Ca: 0.629 0.129 0.000
Ca: 0.871 0.629 0.000
Y: 0.000 0.000 0.000
Y: 0.500 0.500 0.000
Ti: 0.170 0.670 0.500
Ti: 0.330 0.170 0.500
Ti: 0.670 0.830 0.500
Ti: 0.830 0.330 0.500


19.
DFT (PBE) results for Li2SmMgHg4 after structural relaxation.

Formation enthalpy at 0 K (eV per atom): -0.363
Space group: R-3m
Density (g cm⁻³): 9.38
Magnetic moment (μB/f.u.): 0.0

Cell: 9.294 9.294 9.294 Å, 29.79 29.79 29.79°
Atoms (fractional coordinates):
Li: 0.237 0.237 0.237
Li: 0.763 0.763 0.763
Sm: 0.000 0.000 0.000
Mg: 0.500 0.500 0.500
Hg: 0.124 0.124 0.124
Hg: 0.389 0.389 0.389
Hg: 0.611 0.611 0.611
Hg: 0.876 0.876 0.876


20.
DFT (PBE) results for Ta3CuRu4 after structural relaxation.

Formation enthalpy at 0 K (eV per atom): -0.314
Space group: Pmmm
Density (g cm⁻³): 13.64
Magnetic moment (μB/f.u.): 0.0

Cell: 3.289 4.318 8.662 Å, 90.00 90.00 90.00°
Atoms (fractional coordinates):
Ta: 0.000 0.000 0.000
Ta: 0.000 0.500 0.270
Ta: 0.000 0.500 0.730
Cu: 0.000 0.000 0.500
Ru: 0.500 0.000 0.245
Ru: 0.500 0.000 0.755
Ru: 0.500 0.500 0.000
Ru: 0.500 0.500 0.500